Run one
MnCdAg2F | GGA+U | optimized geometry

```
MnCdAg2F
1.0
4.708 0.000 0.000
0.000 4.708 0.000
0.000 0.000 4.613
Mn Cd Ag F
1 1 2 1
Direct
0.000 0.000 0.000 Mn
0.500 0.500 0.000 Cd
0.000 0.500 0.500 Ag
0.500 0.000 0.500 Ag
0.500 0.500 0.500 F
```

Values from the calculation:
For the density of states at the Fermi level, the calculation gives 2.0 states/eV/cell. Its space group is P4/mmm, No. 123.

***

Run two
MnCdAg2F | GGA+U | optimized geometry

```
MnCdAg2F
1.0
5.187 0.000 0.000
0.000 5.187 0.000
0.000 0.000 5.463
Mn Cd Ag F
1 1 2 1
Direct
0.000 0.000 0.000 Mn
0.000 0.000 0.500 Cd
0.000 0.500 0.500 Ag
0.500 0.000 0.500 Ag
0.500 0.500 0.000 F
```

Values from the calculation:
For the density of states at the Fermi level, the calculation gives 2.4 states/eV/cell. Its space group is P4/mmm, No. 123.

***

Which is less stable than every other structure shown? run two is.